Below is a geometry-optimized ScP2Ru structure, with properties calculated at the PBE level.

Crystal system: orthorhombic
ΔE to the lowest computed polymorph: 290 meV per atom
Formation enthalpy at 0 K: -526.1 meV per atom
Fermi-level density of states: 1.671 states/eV/cell

Geometry as CIF:
```
data_ScP2Ru
_chemical_formula_sum 'Sc1 P2 Ru1'
_cell_length_a 3.0016
_cell_length_b 3.0016
_cell_length_c 6.5643
_cell_angle_alpha 90.00
_cell_angle_beta 90.00
_cell_angle_gamma 97.48
_space_group_name_H-M_alt 'P 1'
_space_group_IT_number 1
loop_
_space_group_symop_operation_xyz
'x,y,z'
loop_
_atom_site_label
_atom_site_fract_x
_atom_site_fract_y
_atom_site_fract_z
Sc1 0.0000 0.0000 0.0000
P1 0.5000 0.5000 0.2744
P2 0.5000 0.5000 0.7256
Ru1 0.0000 0.0000 0.5000
```

---

Below is a geometry-optimized ScP2Ru structure, with properties calculated at the PBE level.

Crystal system: orthorhombic
ΔE to the lowest computed polymorph: 192 meV per atom
Formation enthalpy at 0 K: -624.0 meV per atom
Fermi-level density of states: 2.290 states/eV/cell

Geometry as CIF:
```
data_ScP2Ru
_chemical_formula_sum 'Sc1 P2 Ru1'
_cell_length_a 4.4699
_cell_length_b 4.4699
_cell_length_c 4.4699
_cell_angle_alpha 128.03
_cell_angle_beta 111.67
_cell_angle_gamma 90.84
_space_group_name_H-M_alt 'P 1'
_space_group_IT_number 1
loop_
_space_group_symop_operation_xyz
'x,y,z'
loop_
_atom_site_label
_atom_site_fract_x
_atom_site_fract_y
_atom_site_fract_z
Sc1 0.0000 0.0000 0.0000
P1 0.2845 0.7845 0.5000
P2 0.7155 0.2155 0.5000
Ru1 0.5000 0.5000 0.0000
```

---

Below is a geometry-optimized ScPRu structure, with properties calculated at the PBE level.

Crystal system: tetragonal
Formation enthalpy at 0 K: -698.7 meV per atom
Fermi-level density of states: 2.135 states/eV/cell

Geometry as CIF:
```
data_ScPRu
_chemical_formula_sum 'Sc1 P1 Ru1'
_cell_length_a 5.5443
_cell_length_b 5.5443
_cell_length_c 5.5443
_cell_angle_alpha 148.46
_cell_angle_beta 148.46
_cell_angle_gamma 45.20
_space_group_name_H-M_alt 'P 1'
_space_group_IT_number 1
loop_
_space_group_symop_operation_xyz
'x,y,z'
loop_
_atom_site_label
_atom_site_fract_x
_atom_site_fract_y
_atom_site_fract_z
Sc1 0.0000 0.0000 0.0000
P1 0.3093 0.3093 0.0000
Ru1 0.6980 0.6980 0.0000
```